First-principles (PBE) data for LiGaSi after structural relaxation, as listed in Alexandria.

Values from the calculation:
- energy relative to the elements, uncorrected (meV per atom) = -135.3

```
LiGaSi
1.0
-5.7146 2.4097 -2.2679
1.0129 -1.2239 -3.8528
-3.2824 -6.6178 1.2392
Si Ga Li
4 4 4
Cartesian
-3.3607 -3.5390 -0.8863
-0.7451 -1.0393 -3.2466
-4.6234 -1.8929 -3.9951
-7.2389 -4.3925 -1.6348
-5.5486 -2.5882 -1.7636
-4.2486 0.4662 -4.6460
-2.4354 -2.8437 -3.1179
-3.7354 -5.8981 -0.2355
-3.2028 -0.2371 -1.8937
-7.1365 -2.9777 -4.3112
-4.7812 -5.1948 -2.9878
-0.8476 -2.4542 -0.5702
```

***

First-principles (PBE) data for TlPtBr2 after structural relaxation, as listed in Alexandria.

Values from the calculation:
- energy relative to the elements, uncorrected (meV per atom) = 30.4

```
TlPtBr2
1.0
-3.4007 -0.4791 -2.2743
2.7016 -3.0257 0.7163
-4.4618 -2.2902 7.1543
Tl Br Pt
1 2 1
Cartesian
-3.5603 -3.4004 4.3692
-4.2687 -2.1911 6.8446
-1.7707 -2.4819 1.4997
-2.2541 -1.1570 3.6143
```

***

First-principles (PBE) data for Nb3HI after structural relaxation, as listed in Alexandria.

Values from the calculation:
- energy (eV/atom) = -4.604

```
Nb3HI
1.0
5.0751 0.0000 0.0000
0.0000 5.0751 0.0000
0.0000 0.0000 5.0751
I H Nb
1 1 3
Cartesian
0.0000 0.0000 0.0000
2.5376 2.5376 2.5376
0.0000 2.5376 0.0000
0.0000 0.0000 2.5376
2.5376 0.0000 0.0000
```

***

First-principles (PBE) data for YMoAu2 after structural relaxation, as listed in Alexandria.

Values from the calculation:
- ΔH_f (0 K) (meV/atom) = 117.2

```
YMoAu2
1.0
-4.4873 2.0056 -1.6849
-4.7029 1.7369 1.3650
0.9796 5.1840 0.5259
Au Mo Y
2 1 1
Cartesian
-9.0603 3.8279 -0.3032
-4.2351 4.3780 0.0863
-2.0526 2.2316 0.0515
-6.1579 6.6949 0.1545
```

***

First-principles (PBE) data for Dy2AlZn2Ni5 after structural relaxation, as listed in Alexandria.

Values from the calculation:
- ΔH_f (0 K) (meV/atom) = -331.4

```
Dy2AlZn2Ni5
1.0
3.4806 0.0000 0.0000
0.0000 9.3395 0.0000
0.0000 0.0000 9.3395
Dy Al Zn Ni
4 2 4 10
Cartesian
0.0000 6.3189 1.6491
0.0000 3.0206 7.6904
0.0000 1.6491 3.0206
0.0000 7.6904 6.3189
0.0000 0.0000 0.0000
0.0000 4.6698 4.6698
0.0000 1.1320 5.8017
0.0000 8.2075 3.5378
0.0000 5.8017 8.2075
0.0000 3.5378 1.1320
1.7403 1.8644 0.5356
1.7403 7.4751 8.8039
1.7403 0.5356 7.4751
1.7403 6.5341 4.1341
1.7403 8.8039 1.8644
1.7403 2.8054 5.2054
1.7403 5.2054 6.5341
1.7403 4.1341 2.8054
1.7403 4.6698 0.0000
1.7403 0.0000 4.6698
```

***

First-principles (PBE) data for CrAg2P after structural relaxation, as listed in Alexandria.

Values from the calculation:
- ΔH_f (0 K) (meV/atom) = 288.0

```
CrAg2P
1.0
-3.8620 2.5129 -2.0289
-3.3264 1.1979 3.5841
4.8657 0.7291 -1.0673
Ag Cr P
2 1 1
Cartesian
-0.2102 0.1085 0.0455
-1.2408 2.5206 -1.1711
-3.2802 1.6934 0.7097
-1.1856 1.9729 1.6814
```

***

First-principles (PBE) data for TbPm4Nd2Sm2 after structural relaxation, as listed in Alexandria.

Values from the calculation:
- ΔH_f (0 K) (meV/atom) = 8.9

```
TbPm4Nd2Sm2
1.0
-3.5351 0.9226 -0.3743
-0.2784 -5.0071 8.3051
2.3667 9.4422 0.9228
Tb Pm Nd Sm
1 4 2 2
Cartesian
0.0000 0.0000 0.0000
-1.4765 3.8991 5.5389
0.0298 1.4586 3.3147
-1.0577 3.4255 0.4157
-0.3890 1.9322 8.4379
-1.3665 -3.0344 5.4271
-0.0802 8.3921 3.4265
-2.4203 0.4050 5.8392
0.9735 4.9528 3.0145
```

***

First-principles (PBE) data for La2Ag3 after structural relaxation, as listed in Alexandria.

Values from the calculation:
- ΔH_f (0 K) (meV/atom) = -64.3

```
La2Ag3
1.0
-1.8079 1.8079 9.9665
1.8079 -1.8079 9.9665
1.8079 1.8079 -9.9665
La Ag
2 3
Cartesian
0.0000 0.0000 13.4424
0.0000 0.0000 6.4906
0.0000 0.0000 18.4854
0.0000 0.0000 9.9665
0.0000 0.0000 1.4475
```